The following is a GGA-PBE calculation of a relaxed K4InOs crystal, from the Alexandria database.

* crystal system: cubic
* ΔH_f (0 K): 115 kJ/mol of atoms

Unit cell a=6.703 b=6.703 c=6.703 alpha=60.00 beta=60.00 gamma=60.00
Each line ends with the local moment (μB).
Sites, in units of the cell vectors:
K 0.873 0.376 0.376  -0.01
In 0.000 0.000 0.000  -0.11
K 0.376 0.376 0.873  -0.01
Os 0.750 0.750 0.750  1.89
K 0.376 0.376 0.376  -0.01
K 0.376 0.873 0.376  -0.01

***

The following is a GGA-PBE calculation of a relaxed Pm2YHo9 crystal, from the Alexandria database.

* crystal system: hexagonal
* excess energy over the best structure of this formula in the dataset: 0 meV per atom
* ΔH_f (0 K): 6 kJ/mol of atoms

Unit cell a=3.496 b=11.224 c=11.224 alpha=120.00 beta=90.00 gamma=90.00
Sites, in units of the cell vectors:
Ho 0.500 0.825 0.175
Pm 0.000 0.667 0.333
Ho 0.500 0.349 0.175
Ho 0.000 0.500 0.000
Ho 0.500 0.651 0.825
Ho 0.500 0.175 0.349
Pm 0.000 0.333 0.667
Ho 0.500 0.175 0.825
Ho 0.000 0.000 0.500
Ho 0.000 0.500 0.500
Y 0.000 0.000 0.000
Ho 0.500 0.825 0.651

***

The following is a GGA-PBE calculation of a relaxed PuU2Sn9 crystal, from the Alexandria database.

* crystal system: tetragonal
* ΔH_f (0 K): -20 kJ/mol of atoms

Unit cell a=4.625 b=4.625 c=14.027 alpha=90.00 beta=90.00 gamma=90.00
Each line ends with the local moment (μB).
Sites, in units of the cell vectors:
Sn 0.000 0.500 0.500  -0.01
Sn 0.500 0.500 0.334  -0.02
Sn 0.500 0.500 0.000  -0.01
Sn 0.000 0.500 0.832  -0.02
Sn 0.500 0.500 0.666  -0.02
U 0.000 0.000 0.335  2.15
Sn 0.500 0.000 0.832  -0.02
Pu 0.000 0.000 0.000  5.29
U 0.000 0.000 0.665  2.15
Sn 0.500 0.000 0.500  -0.01
Sn 0.000 0.500 0.168  -0.02
Sn 0.500 0.000 0.168  -0.02

***

The following is a GGA-PBE calculation of a relaxed Tm6HPb2 crystal, from the Alexandria database.

* crystal system: monoclinic
* VASP energy: -4.4516 eV/atom

Unit cell a=6.545 b=6.508 c=10.789 alpha=90.00 beta=89.31 gamma=90.00
Sites, in units of the cell vectors:
Tm 0.830 0.688 0.985
Tm 0.670 0.188 0.515
Tm 0.330 0.812 0.485
Tm 0.169 0.310 0.484
Pb 0.577 0.917 0.751
Tm 0.411 0.457 0.748
H 0.000 0.000 0.500
Tm 0.589 0.543 0.252
H 0.500 0.500 0.000
Pb 0.077 0.583 0.251
Tm 0.831 0.690 0.516
Tm 0.669 0.190 0.984
Tm 0.911 0.043 0.248
Pb 0.923 0.417 0.749
Tm 0.089 0.957 0.752
Tm 0.331 0.810 0.016
Pb 0.423 0.083 0.249
Tm 0.170 0.312 0.015

***

The following is a GGA-PBE calculation of a relaxed CoRu2 crystal, from the Alexandria database.

* crystal system: hexagonal
* ΔH_f (0 K): 62 kJ/mol of atoms

Unit cell a=5.062 b=5.062 c=7.931 alpha=90.00 beta=90.00 gamma=60.00
Each line ends with the local moment (μB).
Sites, in units of the cell vectors:
Co 0.667 0.667 0.408  1.90
Ru 0.000 0.000 0.000  0.16
Co 0.667 0.667 0.092  1.90
Ru 0.352 0.824 0.750  0.25
Ru 0.176 0.176 0.250  0.25
Ru 0.000 0.000 0.500  0.16
Ru 0.824 0.352 0.750  0.25
Ru 0.648 0.176 0.250  0.25
Co 0.333 0.333 0.908  1.90
Co 0.333 0.333 0.592  1.90
Ru 0.176 0.648 0.250  0.25
Ru 0.824 0.824 0.750  0.25

***

The following is a GGA-PBE calculation of a relaxed HgTeSe crystal, from the Alexandria database.

* crystal system: orthorhombic
* excess energy over the best structure of this formula in the dataset: 91 meV per atom
* formation energy without anion corrections: 0.1543 eV per atom

Unit cell a=5.945 b=5.945 c=5.945 alpha=151.85 beta=101.29 gamma=85.55
Sites, in units of the cell vectors:
Se 0.342 0.342 0.000
Te 0.651 0.651 0.000
Hg 0.007 0.007 0.000

***

The following is a GGA-PBE calculation of a relaxed AlSnIN2 crystal, from the Alexandria database.

* crystal system: tetragonal
* excess energy over the best structure of this formula in the dataset: 0 meV per atom
* formation energy without anion corrections: 0.9247 eV per atom

Unit cell a=4.067 b=4.067 c=5.614 alpha=90.00 beta=90.00 gamma=90.00
Sites, in units of the cell vectors:
N 0.000 0.500 0.000
Al 0.000 0.000 0.000
I 0.000 0.000 0.500
N 0.500 0.000 0.000
Sn 0.500 0.500 0.500

***

The following is a GGA-PBE calculation of a relaxed TlZn2BSb crystal, from the Alexandria database.

* crystal system: tetragonal
* formation energy without anion corrections: 0.9444 eV per atom

Unit cell a=5.346 b=4.570 c=5.346 alpha=90.00 beta=90.00 gamma=90.00
Sites, in units of the cell vectors:
Zn 0.000 0.000 0.500
Tl 0.500 0.500 0.500
Zn 0.500 0.000 0.000
Sb 0.000 0.000 0.000
B 0.000 0.500 0.000

***

The following is a GGA-PBE calculation of a relaxed Ac6BiSb2Se3 crystal, from the Alexandria database.

* crystal system: monoclinic
* formation energy without anion corrections: -1.5113 eV per atom

Unit cell a=4.676 b=9.257 c=10.382 alpha=102.24 beta=103.01 gamma=90.00
Sites, in units of the cell vectors:
Sb 0.833 0.667 0.667
Ac 0.002 0.740 0.004
Ac 0.329 0.920 0.659
Ac 0.671 0.080 0.341
Se 0.500 0.500 0.000
Ac 0.335 0.413 0.670
Se 0.834 0.167 0.668
Bi 0.500 0.000 0.000
Ac 0.998 0.260 0.996
Ac 0.665 0.587 0.330
Se 0.166 0.833 0.332
Sb 0.167 0.333 0.333

***

The following is a GGA-PBE calculation of a relaxed CaInPb crystal, from the Alexandria database.

* crystal system: trigonal
* ΔH_f (0 K): -31 kJ/mol of atoms

Unit cell a=5.280 b=5.280 c=3.678 alpha=90.00 beta=90.00 gamma=120.00
Sites, in units of the cell vectors:
Ca 0.000 0.000 0.004
Pb 0.333 0.667 0.607
In 0.667 0.333 0.389

***

The following is a GGA-PBE calculation of a relaxed La2BePd crystal, from the Alexandria database.

* crystal system: tetragonal
* ΔH_f (0 K): -25 kJ/mol of atoms

Unit cell a=3.697 b=3.697 c=7.007 alpha=90.00 beta=90.00 gamma=90.00
Sites, in units of the cell vectors:
La 0.000 0.000 0.761
Pd 0.500 0.500 0.500
La 0.000 0.000 0.239
Be 0.500 0.500 0.000

***

The following is a GGA-PBE calculation of a relaxed TaIn2Rh crystal, from the Alexandria database.

* crystal system: monoclinic
* ΔH_f (0 K): 2 kJ/mol of atoms

Unit cell a=6.299 b=6.299 c=4.773 alpha=67.89 beta=67.89 gamma=27.00
Sites, in units of the cell vectors:
In 0.212 0.212 0.288
In 0.012 0.012 0.987
Rh 0.486 0.486 0.514
Ta 0.789 0.789 0.711

***

The following is a GGA-PBE calculation of a relaxed PmNdTh2Se4 crystal, from the Alexandria database.

* crystal system: monoclinic
* formation energy without anion corrections: -1.6768 eV per atom

Unit cell a=4.228 b=7.199 c=7.345 alpha=109.60 beta=90.00 gamma=90.00
Sites, in units of the cell vectors:
Pm 0.500 0.500 0.000
Se 0.000 0.748 0.247
Se 0.500 0.251 0.248
Th 0.500 0.000 0.500
Nd 0.000 0.000 0.000
Se 0.000 0.252 0.753
Th 0.000 0.500 0.500
Se 0.500 0.749 0.752

***

The following is a GGA-PBE calculation of a relaxed NaNd3Ir crystal, from the Alexandria database.

* crystal system: cubic
* ΔH_f (0 K): -17 kJ/mol of atoms

Unit cell a=5.658 b=5.658 c=5.658 alpha=90.00 beta=90.00 gamma=90.00
Sites, in units of the cell vectors:
Nd 0.000 0.500 0.000
Na 0.500 0.500 0.500
Nd 0.000 0.000 0.500
Nd 0.500 0.000 0.000
Ir 0.000 0.000 0.000

***

The following is a GGA-PBE calculation of a relaxed Cs2U2MnS6 crystal, from the Alexandria database.

* crystal system: monoclinic
* formation energy without anion corrections: -1.2397 eV per atom

Unit cell a=6.820 b=6.820 c=8.559 alpha=97.41 beta=97.41 gamma=120.09
Each line ends with the local moment (μB).
Sites, in units of the cell vectors:
U 0.666 0.334 0.500  1.93
Cs 0.164 0.836 0.000  0.00
S 0.271 0.271 0.327  -0.07
Cs 0.836 0.164 0.000  0.00
S 0.390 0.056 0.675  -0.07
S 0.944 0.610 0.325  -0.07
S 0.610 0.944 0.325  -0.07
S 0.056 0.390 0.675  -0.07
U 0.334 0.666 0.500  1.93
S 0.729 0.729 0.673  -0.07
Mn 0.000 0.000 0.500  -4.25

***

The following is a GGA-PBE calculation of a relaxed YGa4Ni6 crystal, from the Alexandria database.

* crystal system: hexagonal
* ΔH_f (0 K): -43 kJ/mol of atoms

Unit cell a=3.807 b=6.830 c=6.830 alpha=120.00 beta=90.00 gamma=90.00
Sites, in units of the cell vectors:
Ni 0.500 0.207 0.413
Ni 0.000 0.535 0.465
Ni 0.500 0.207 0.793
Ga 0.500 0.802 0.604
Ni 0.000 0.535 0.070
Ga 0.000 0.333 0.667
Y 0.000 0.000 0.000
Ga 0.500 0.802 0.198
Ni 0.000 0.930 0.465
Ga 0.500 0.396 0.198
Ni 0.500 0.587 0.793

***

The following is a GGA-PBE calculation of a relaxed HoHfGa3 crystal, from the Alexandria database.

* crystal system: orthorhombic
* ΔH_f (0 K): -53 kJ/mol of atoms

Unit cell a=4.031 b=3.950 c=12.649 alpha=98.98 beta=90.00 gamma=90.00
Sites, in units of the cell vectors:
Hf 0.750 0.207 0.415
Hf 0.250 0.793 0.585
Ho 0.750 0.924 0.847
Ga 0.250 0.376 0.753
Ga 0.750 0.317 0.635
Ga 0.250 0.683 0.365
Ga 0.750 0.624 0.247
Ga 0.750 0.526 0.051
Ho 0.250 0.076 0.153
Ga 0.250 0.474 0.949

***

The following is a GGA-PBE calculation of a relaxed Tl2ReBr crystal, from the Alexandria database.

* crystal system: orthorhombic
* excess energy over the best structure of this formula in the dataset: 403 meV per atom
* formation energy without anion corrections: 1.0132 eV per atom

Unit cell a=3.338 b=6.314 c=5.056 alpha=90.00 beta=90.00 gamma=90.00
Each line ends with the local moment (μB).
Sites, in units of the cell vectors:
Br 0.500 0.000 0.500  0.09
Re 0.000 0.500 0.500  2.60
Tl 0.500 0.500 0.000  -0.06
Tl 0.000 0.000 0.000  -0.01

***

The following is a GGA-PBE calculation of a relaxed CePrTeS crystal, from the Alexandria database.

* crystal system: trigonal
* formation energy without anion corrections: -1.7119 eV per atom

Unit cell a=4.233 b=4.233 c=7.608 alpha=73.85 beta=73.85 gamma=60.00
Each line ends with the local moment (μB).
Sites, in units of the cell vectors:
Te 0.751 0.751 0.746  -0.01
Ce 0.513 0.513 0.460  0.87
Pr 0.987 0.987 0.040  0.01
S 0.249 0.249 0.254  -0.01